The following is a GGA-PBE calculation of Hf2Zn3Ga2 after structural relaxation, from Alexandria.

a b c (Å): 10.7576 10.7576 7.3856
angles (deg): 90.00 90.00 163.20
Sites, in units of the cell vectors:
Hf: 0.0550 0.9450 0.7500
Hf: 0.1473 0.8527 0.2500
Hf: 0.8527 0.1473 0.7500
Hf: 0.9450 0.0550 0.2500
Zn: 0.2414 0.7586 0.7500
Zn: 0.4512 0.5488 0.5843
Zn: 0.4512 0.5488 0.9157
Zn: 0.5488 0.4512 0.0843
Zn: 0.5488 0.4512 0.4157
Zn: 0.7586 0.2414 0.2500
Ga: 0.3420 0.6580 0.0689
Ga: 0.3420 0.6580 0.4311
Ga: 0.6580 0.3420 0.5689
Ga: 0.6580 0.3420 0.9311

The raw total energy comes out at -4.452 eV per atom. The crystal system is orthorhombic. As for the formation energy: -0.20 eV/atom. As for the space-group type: Cmcm. The calculation puts the total magnetic moment at 0.00 Bohr magnetons per cell. The theoretical density comes out at 9.31 g cm⁻³.

=====

The following is a GGA-PBE calculation of AlN after structural relaxation, from Alexandria.

a b c (Å): 5.3692 5.3692 5.3692
angles (deg): 90.00 90.00 90.00
Sites, in units of the cell vectors:
Al: 0.0000 0.2500 0.5000
Al: 0.0000 0.7500 0.5000
Al: 0.2500 0.5000 0.0000
Al: 0.5000 0.0000 0.2500
Al: 0.5000 0.0000 0.7500
Al: 0.7500 0.5000 0.0000
N: 0.0000 0.5000 0.2500
N: 0.0000 0.5000 0.7500
N: 0.2500 0.0000 0.5000
N: 0.5000 0.2500 0.0000
N: 0.5000 0.7500 0.0000
N: 0.7500 0.0000 0.5000

The raw total energy comes out at -7.331 eV per atom. The crystal system is cubic. The uncorrected formation energy comes out at -1297 meV per atom. As for the space-group type: Pm-3n. The calculation puts the total magnetic moment at 0.00 Bohr magnetons per cell. The theoretical density comes out at 2.64 g cm⁻³.

=====

The following is a GGA-PBE calculation of SrSn3Pd3 after structural relaxation, from Alexandria.

a b c (Å): 8.8658 8.8658 8.8658
angles (deg): 47.44 47.44 47.44
Sites, in units of the cell vectors:
Sr: 0.1773 0.1773 0.1773
Sr: 0.8227 0.8227 0.8227
Sn: 0.1788 0.6948 0.3572
Sn: 0.3052 0.6428 0.8212
Sn: 0.3572 0.1788 0.6948
Sn: 0.6428 0.8212 0.3052
Sn: 0.6948 0.3572 0.1788
Sn: 0.8212 0.3052 0.6428
Pd: 0.0667 0.5544 0.2667
Pd: 0.2667 0.0667 0.5544
Pd: 0.4456 0.7333 0.9333
Pd: 0.5544 0.2667 0.0667
Pd: 0.7333 0.9333 0.4456
Pd: 0.9333 0.4456 0.7333

The raw total energy comes out at -4.642 eV per atom. The crystal system is trigonal. As for the formation energy: -0.46 eV/atom. As for the space-group type: R-3. The calculation puts the total magnetic moment at 0.00 Bohr magnetons per cell. The theoretical density comes out at 7.32 g cm⁻³.

=====

The following is a GGA-PBE calculation of Tl2Re after structural relaxation, from Alexandria.

a b c (Å): 7.6547 7.6547 4.6226
angles (deg): 90.00 90.00 152.50
Sites, in units of the cell vectors:
Tl: 0.0690 0.9310 0.7500
Tl: 0.2494 0.7506 0.2500
Tl: 0.7506 0.2494 0.7500
Tl: 0.9310 0.0690 0.2500
Re: 0.4041 0.5959 0.7500
Re: 0.5959 0.4041 0.2500

The raw total energy comes out at -4.536 eV per atom. The crystal system is orthorhombic. As for the formation energy: 1.19 eV/atom. As for the space-group type: Cmcm. The calculation puts the total magnetic moment at 0.41 Bohr magnetons per cell. The theoretical density comes out at 15.80 g cm⁻³.

=====

The following is a GGA-PBE calculation of LaAl2Pd8 after structural relaxation, from Alexandria.

a b c (Å): 6.0845 6.0845 5.6501
angles (deg): 90.00 90.00 90.00
Sites, in units of the cell vectors:
La: 0.0000 0.0000 0.0000
Al: 0.0000 0.5000 0.5000
Al: 0.5000 0.0000 0.5000
Pd: 0.2772 0.2772 0.2522
Pd: 0.2772 0.2772 0.7478
Pd: 0.2772 0.7228 0.2522
Pd: 0.2772 0.7228 0.7478
Pd: 0.7228 0.2772 0.2522
Pd: 0.7228 0.2772 0.7478
Pd: 0.7228 0.7228 0.2522
Pd: 0.7228 0.7228 0.7478

The raw total energy comes out at -5.269 eV per atom. The crystal system is tetragonal. As for the formation energy: -0.36 eV/atom. As for the space-group type: P4/mmm. The calculation puts the total magnetic moment at 0.00 Bohr magnetons per cell. The theoretical density comes out at 8.29 g cm⁻³.

=====

The following is a GGA-PBE calculation of SrZnCdGa2 after structural relaxation, from Alexandria.

a b c (Å): 6.4065 6.4065 6.4065
angles (deg): 138.81 138.81 59.66
Sites, in units of the cell vectors:
Sr: 0.0000 0.0000 0.0000
Zn: 0.7500 0.2500 0.5000
Cd: 0.2500 0.7500 0.5000
Ga: 0.3865 0.3865 0.0000
Ga: 0.6135 0.6135 0.0000

The raw total energy comes out at -2.316 eV per atom. The crystal system is tetragonal. As for the formation energy: -0.33 eV/atom. As for the space-group type: I-4m2. The calculation puts the total magnetic moment at 0.00 Bohr magnetons per cell. The theoretical density comes out at 5.96 g cm⁻³.

=====

The following is a GGA-PBE calculation of BaCuTc after structural relaxation, from Alexandria.

a b c (Å): 6.2355 6.2355 6.2355
angles (deg): 150.80 145.16 46.08
Sites, in units of the cell vectors:
Ba: 0.0000 0.0000 0.0000
Cu: 0.7166 0.7166 0.0000
Tc: 0.2842 0.2842 0.0000

The raw total energy comes out at -4.722 eV per atom. The crystal system is orthorhombic. As for the formation energy: 0.74 eV/atom. As for the space-group type: Imm2. The calculation puts the total magnetic moment at 0.00 Bohr magnetons per cell. The theoretical density comes out at 7.37 g cm⁻³.

=====

The following is a GGA-PBE calculation of Li2AgPdBr6 after structural relaxation, from Alexandria.

a b c (Å): 6.7386 6.7919 7.2542
angles (deg): 65.16 63.24 61.94
Sites, in units of the cell vectors:
Li: 0.0000 0.0000 0.0000
Li: 0.4791 0.4761 0.5280
Ag: 0.1784 0.1784 0.4488
Pd: 0.6713 0.6723 0.9702
Br: 0.0465 0.7686 0.7423
Br: 0.2884 0.5973 0.2117
Br: 0.4082 0.0667 0.7250
Br: 0.5974 0.8873 0.2204
Br: 0.7617 0.4226 0.7415
Br: 0.8929 0.2785 0.2333

The raw total energy comes out at -2.934 eV per atom. The crystal system is triclinic. The uncorrected formation energy comes out at -743 meV per atom. As for the space-group type: P1. The calculation puts the total magnetic moment at 0.57 Bohr magnetons per cell. The theoretical density comes out at 4.66 g cm⁻³.